Density functional theory data (GGA-PBE) for GdScMo4 after structural relaxation.

```
6
Lattice="0.000 3.861 3.861 3.861 0.000 3.861 3.861 3.861 0.000" Properties=species:S:1:pos:R:3 pbc="T T T"
Gd 0.000 0.000 0.000
Sc 1.930 1.930 1.930
Mo 4.827 2.895 2.895
Mo 2.895 4.827 2.895
Mo 2.895 2.895 4.827
Mo 4.827 4.827 4.827
```

Summary:
Energy relative to the elements   8.4 kJ/mol of atoms
Symmetry   F-43m, No. 216